Pm7NdSm3: relaxed, PBE.

```
data_Pm7NdSm3
_symmetry_space_group_name_H-M 'P -1'
_symmetry_Int_Tables_number 2
_symmetry_space_group_name_Hall '-P 1'
_cell_length_a 6.632
_cell_length_b 6.809
_cell_length_c 8.808
_cell_angle_alpha 99.40
_cell_angle_beta 99.17
_cell_angle_gamma 95.73
loop_
_atom_site_label
_atom_site_fract_x
_atom_site_fract_y
_atom_site_fract_z
Pm1 0.000 0.000 0.000
Pm2 0.058 0.709 0.642
Pm3 0.220 0.223 0.712
Pm4 0.484 0.736 0.916
Nd1 0.000 0.500 0.000
Sm1 0.309 0.936 0.336
Sm2 0.500 0.500 0.500
```

Calculated values
Its formation energy is 1.35 eV per formula unit.

---

LiSiMo: relaxed, PBE.

```
data_LiSiMo
_symmetry_space_group_name_H-M 'I m m 2'
_symmetry_Int_Tables_number 44
_symmetry_space_group_name_Hall 'I 2 -2'
_cell_length_a 2.691
_cell_length_b 3.731
_cell_length_c 8.107
_cell_angle_alpha 90.00
_cell_angle_beta 90.00
_cell_angle_gamma 90.00
loop_
_atom_site_label
_atom_site_fract_x
_atom_site_fract_y
_atom_site_fract_z
Li1 0.000 0.000 0.000
Si1 0.000 0.000 0.347
Mo1 0.000 0.000 0.679
```

Calculated values
Its formation energy without anion corrections is 38 meV/atom.

---

Pr8Ho3: relaxed, PBE.

```
data_Pr8Ho3
_symmetry_space_group_name_H-M 'C 1 2/m 1'
_symmetry_Int_Tables_number 12
_symmetry_space_group_name_Hall '-C 2y'
_cell_length_a 11.598
_cell_length_b 5.165
_cell_length_c 13.241
_cell_angle_alpha 90.00
_cell_angle_beta 105.12
_cell_angle_gamma 90.00
loop_
_atom_site_label
_atom_site_fract_x
_atom_site_fract_y
_atom_site_fract_z
Pr1 0.046 0.000 0.318
Pr2 0.135 0.000 0.954
Pr3 0.181 0.500 0.772
Pr4 0.228 0.000 0.591
Ho1 0.000 0.500 0.500
Ho2 0.091 0.500 0.134
```

Calculated values
Its formation energy is 0.18 eV per formula unit.